Below is Tb8Ge5As after structural relaxation, with properties calculated at the PBE level.

Unit cell a=7.677 b=7.677 c=7.677 alpha=109.49 beta=109.44 gamma=109.49
Fractional positions:
Tb: 0.125 0.749 0.007
Tb: 0.993 0.118 0.742
Tb: 0.755 0.249 0.373
Tb: 0.627 0.382 0.876
Tb: 0.493 0.618 0.245
Tb: 0.625 0.882 0.875
Tb: 0.258 0.251 0.375
Tb: 0.124 0.751 0.507
Ge: 0.001 0.375 0.125
Ge: 0.875 0.876 0.250
Ge: 0.750 0.625 0.626
Ge: 0.500 0.000 0.500
Ge: 0.374 0.124 0.999
As: 0.250 0.500 0.750

Output
* ΔE_f: -89.8 kJ per mole of atoms
* uncorrected energy: -5.56 eV/atom
* crystal system: tetragonal